# LiMn2CrO4 (PBE+U, relaxed)
data_LiMn2CrO4
_cell_length_a 5.175
_cell_length_b 3.025
_cell_length_c 5.232
_cell_angle_alpha 90.00
_cell_angle_beta 108.07
_cell_angle_gamma 90.00
_space_group_name_H-M_alt 'P 1 2/m 1'
_space_group_IT_number 10
loop_
_space_group_symop_operation_xyz
'x,y,z'
'-x,-y,-z'
'-x,y,-z'
'x,-y,z'
loop_
_atom_site_label
_atom_site_fract_x
_atom_site_fract_y
_atom_site_fract_z
Li1 0.000 0.000 0.000
Mn1 0.000 0.500 0.500
Mn2 0.500 0.000 0.500
Cr1 0.500 0.500 0.000
O1 0.266 0.000 0.774
O2 0.270 0.500 0.254
# Magnetic moment   9.00 Bohr magnetons per cell
# Calculated density   4.96 Mg/m³
# Energy   -7.031 eV/atom

# Li24Mn7Cr5O36 (PBE+U, relaxed)
data_Li24Mn7Cr5O36
_cell_length_a 5.006
_cell_length_b 9.738
_cell_length_c 13.283
_cell_angle_alpha 96.93
_cell_angle_beta 100.35
_cell_angle_gamma 94.60
_space_group_name_H-M_alt 'P 1'
_space_group_IT_number 1
loop_
_space_group_symop_operation_xyz
'x,y,z'
loop_
_atom_site_label
_atom_site_fract_x
_atom_site_fract_y
_atom_site_fract_z
Li1 0.000 0.000 0.000
Li2 0.000 0.499 0.500
Li3 0.044 0.246 0.361
Li4 0.050 0.750 0.860
Li5 0.168 0.749 0.083
Li6 0.169 0.249 0.582
Li7 0.291 0.247 0.800
Li8 0.300 0.753 0.307
Li9 0.331 0.998 0.666
Li10 0.338 0.498 0.165
Li11 0.384 0.748 0.528
Li12 0.393 0.252 0.032
Li13 0.498 0.249 0.250
Li14 0.500 0.750 0.749
Li15 0.620 0.746 0.967
Li16 0.628 0.251 0.470
Li17 0.666 0.500 0.833
Li18 0.668 0.998 0.333
Li19 0.717 0.750 0.197
Li20 0.719 0.249 0.695
Li21 0.837 0.749 0.416
Li22 0.839 0.248 0.916
Li23 0.947 0.247 0.134
Li24 0.957 0.749 0.635
Mn1 0.114 0.998 0.221
Mn2 0.222 0.997 0.442
Mn3 0.228 0.501 0.944
Mn4 0.561 0.499 0.610
Mn5 0.562 0.000 0.111
Mn6 0.778 0.498 0.053
Mn7 0.893 0.999 0.776
Cr1 0.109 0.499 0.723
Cr2 0.442 0.999 0.890
Cr3 0.445 0.500 0.390
Cr4 0.773 0.000 0.555
Cr5 0.895 0.497 0.274
O1 0.002 0.886 0.320
O2 0.006 0.113 0.680
O3 0.011 0.388 0.820
O4 0.072 0.885 0.533
O5 0.073 0.386 0.034
O6 0.149 0.111 0.891
O7 0.156 0.612 0.392
O8 0.183 0.385 0.273
O9 0.188 0.886 0.771
O10 0.266 0.112 0.130
O11 0.268 0.612 0.631
O12 0.334 0.110 0.343
O13 0.339 0.388 0.487
O14 0.340 0.614 0.847
O15 0.343 0.888 0.987
O16 0.407 0.884 0.201
O17 0.409 0.385 0.701
O18 0.478 0.611 0.059
O19 0.479 0.110 0.556
O20 0.522 0.886 0.438
O21 0.528 0.388 0.939
O22 0.601 0.113 0.797
O23 0.601 0.613 0.298
O24 0.663 0.385 0.151
O25 0.673 0.888 0.654
O26 0.674 0.113 0.014
O27 0.676 0.613 0.514
O28 0.737 0.385 0.367
O29 0.741 0.886 0.867
O30 0.812 0.110 0.226
O31 0.815 0.610 0.724
O32 0.855 0.385 0.604
O33 0.862 0.887 0.107
O34 0.932 0.613 0.963
O35 0.933 0.113 0.464
O36 0.997 0.609 0.177
# ΔE to the lowest computed polymorph   0.02 eV per formula unit
# Magnetic moment   19.00 Bohr magnetons per cell
# Calculated density   3.66 Mg/m³
# Energy   -6.215 eV/atom

# Li32Mn3Cr13O48 (PBE+U, relaxed)
data_Li32Mn3Cr13O48
_cell_length_a 5.041
_cell_length_b 8.713
_cell_length_c 19.504
_cell_angle_alpha 81.94
_cell_angle_beta 85.10
_cell_angle_gamma 89.64
_space_group_name_H-M_alt 'P 1'
_space_group_IT_number 1
loop_
_space_group_symop_operation_xyz
'x,y,z'
loop_
_atom_site_label
_atom_site_fract_x
_atom_site_fract_y
_atom_site_fract_z
Li1 0.000 0.000 0.000
Li2 0.001 0.002 0.500
Li3 0.002 0.328 0.497
Li4 0.003 0.333 0.998
Li5 0.120 0.121 0.625
Li6 0.120 0.125 0.123
Li7 0.232 0.920 0.249
Li8 0.236 0.921 0.748
Li9 0.246 0.251 0.749
Li10 0.252 0.248 0.250
Li11 0.257 0.581 0.750
Li12 0.259 0.583 0.248
Li13 0.373 0.381 0.873
Li14 0.376 0.373 0.374
Li15 0.490 0.170 0.500
Li16 0.492 0.173 0.000
Li17 0.493 0.502 0.499
Li18 0.494 0.502 0.997
Li19 0.500 0.825 0.501
Li20 0.507 0.835 0.999
Li21 0.616 0.626 0.624
Li22 0.626 0.629 0.124
Li23 0.738 0.421 0.250
Li24 0.742 0.422 0.750
Li25 0.746 0.751 0.749
Li26 0.748 0.749 0.248
Li27 0.751 0.080 0.748
Li28 0.758 0.081 0.249
Li29 0.874 0.874 0.374
Li30 0.877 0.876 0.874
Li31 0.989 0.669 0.499
Li32 0.992 0.675 0.998
Mn1 0.617 0.960 0.625
Mn2 0.872 0.208 0.374
Mn3 0.876 0.543 0.873
Cr1 0.115 0.789 0.624
Cr2 0.120 0.454 0.125
Cr3 0.124 0.452 0.623
Cr4 0.128 0.790 0.125
Cr5 0.365 0.710 0.374
Cr6 0.369 0.050 0.875
Cr7 0.378 0.713 0.874
Cr8 0.382 0.041 0.373
Cr9 0.618 0.964 0.124
Cr10 0.624 0.296 0.624
Cr11 0.626 0.300 0.123
Cr12 0.869 0.206 0.874
Cr13 0.875 0.538 0.375
O1 0.031 0.394 0.319
O2 0.035 0.394 0.818
O3 0.061 0.078 0.817
O4 0.069 0.716 0.818
O5 0.070 0.072 0.317
O6 0.078 0.716 0.318
O7 0.164 0.533 0.430
O8 0.173 0.176 0.431
O9 0.174 0.539 0.930
O10 0.181 0.178 0.932
O11 0.211 0.863 0.931
O12 0.216 0.851 0.431
O13 0.279 0.646 0.069
O14 0.282 0.639 0.567
O15 0.312 0.324 0.566
O16 0.315 0.330 0.066
O17 0.319 0.963 0.568
O18 0.331 0.968 0.068
O19 0.416 0.786 0.181
O20 0.423 0.786 0.680
O21 0.431 0.424 0.681
O22 0.432 0.424 0.182
O23 0.458 0.108 0.680
O24 0.467 0.109 0.179
O25 0.525 0.893 0.819
O26 0.529 0.899 0.317
O27 0.561 0.211 0.817
O28 0.572 0.573 0.317
O29 0.575 0.218 0.317
O30 0.576 0.572 0.816
O31 0.671 0.679 0.930
O32 0.673 0.036 0.429
O33 0.674 0.678 0.431
O34 0.683 0.042 0.931
O35 0.707 0.352 0.431
O36 0.712 0.360 0.929
O37 0.781 0.142 0.569
O38 0.786 0.150 0.068
O39 0.810 0.460 0.567
O40 0.811 0.465 0.068
O41 0.822 0.824 0.068
O42 0.822 0.824 0.567
O43 0.916 0.930 0.682
O44 0.924 0.929 0.181
O45 0.932 0.291 0.681
O46 0.936 0.289 0.180
O47 0.961 0.604 0.181
O48 0.968 0.609 0.679
# ΔE to the lowest computed polymorph   0.05 eV per formula unit
# Magnetic moment   35.00 Bohr magnetons per cell
# Calculated density   3.60 Mg/m³
# Energy   -6.248 eV/atom

# Li2Mn2CrO6 (PBE+U, relaxed)
data_Li2Mn2CrO6
_cell_length_a 10.287
_cell_length_b 5.310
_cell_length_c 8.762
_cell_angle_alpha 90.00
_cell_angle_beta 90.00
_cell_angle_gamma 90.00
_space_group_name_H-M_alt 'A e a 2'
_space_group_IT_number 41
loop_
_space_group_symop_operation_xyz
'x,y,z'
'-x,-y,z'
'-x+1/2,y+1/2,z'
'x+1/2,-y+1/2,z'
'x,y+1/2,z+1/2'
'-x,-y+1/2,z+1/2'
'-x+1/2,y,z+1/2'
'x+1/2,-y,z+1/2'
loop_
_atom_site_label
_atom_site_fract_x
_atom_site_fract_y
_atom_site_fract_z
Li1 0.223 0.194 0.000
Mn1 0.000 0.000 0.164
Mn2 0.000 0.000 0.495
Cr1 0.000 0.000 0.829
O1 0.095 0.322 0.156
O2 0.096 0.336 0.832
O3 0.111 0.373 0.502
# ΔE to the lowest computed polymorph   0.06 eV per formula unit
# Magnetic moment   40.00 Bohr magnetons per cell
# Calculated density   3.77 Mg/m³
# Energy   -6.849 eV/atom

# Li24Mn7Cr5O36 (PBE+U, relaxed)
data_Li24Mn7Cr5O36
_cell_length_a 5.006
_cell_length_b 9.732
_cell_length_c 13.286
_cell_angle_alpha 96.90
_cell_angle_beta 100.29
_cell_angle_gamma 94.59
_space_group_name_H-M_alt 'P 1'
_space_group_IT_number 1
loop_
_space_group_symop_operation_xyz
'x,y,z'
loop_
_atom_site_label
_atom_site_fract_x
_atom_site_fract_y
_atom_site_fract_z
Li1 0.000 0.000 0.000
Li2 0.001 0.496 0.500
Li3 0.133 0.499 0.723
Li4 0.135 0.000 0.223
Li5 0.242 0.497 0.940
Li6 0.259 0.005 0.448
Li7 0.291 0.250 0.807
Li8 0.299 0.750 0.306
Li9 0.342 0.000 0.668
Li10 0.351 0.502 0.174
Li11 0.457 0.002 0.890
Li12 0.457 0.501 0.390
Li13 0.587 0.501 0.609
Li14 0.592 0.001 0.113
Li15 0.628 0.249 0.474
Li16 0.633 0.749 0.973
Li17 0.675 0.000 0.336
Li18 0.688 0.503 0.841
Li19 0.795 0.001 0.557
Li20 0.797 0.499 0.057
Li21 0.906 0.499 0.274
Li22 0.914 0.999 0.776
Li23 0.960 0.251 0.141
Li24 0.962 0.751 0.640
Mn1 0.072 0.749 0.861
Mn2 0.073 0.250 0.362
Mn3 0.182 0.249 0.583
Mn4 0.522 0.252 0.252
Mn5 0.523 0.752 0.752
Mn6 0.740 0.751 0.195
Mn7 0.852 0.250 0.917
Cr1 0.192 0.751 0.083
Cr2 0.401 0.250 0.030
Cr3 0.405 0.752 0.532
Cr4 0.732 0.251 0.697
Cr5 0.856 0.749 0.415
O1 0.031 0.137 0.674
O2 0.032 0.637 0.174
O3 0.106 0.361 0.031
O4 0.116 0.863 0.533
O5 0.144 0.637 0.414
O6 0.146 0.137 0.912
O7 0.226 0.364 0.271
O8 0.227 0.864 0.771
O9 0.289 0.862 0.985
O10 0.294 0.362 0.484
O11 0.304 0.139 0.128
O12 0.304 0.640 0.629
O13 0.367 0.136 0.342
O14 0.368 0.636 0.842
O15 0.439 0.362 0.697
O16 0.444 0.864 0.201
O17 0.481 0.137 0.579
O18 0.485 0.639 0.081
O19 0.561 0.364 0.938
O20 0.562 0.864 0.439
O21 0.624 0.637 0.292
O22 0.632 0.140 0.795
O23 0.633 0.364 0.154
O24 0.636 0.865 0.655
O25 0.699 0.636 0.508
O26 0.700 0.136 0.008
O27 0.771 0.362 0.367
O28 0.772 0.862 0.867
O29 0.822 0.139 0.247
O30 0.822 0.639 0.747
O31 0.893 0.365 0.605
O32 0.893 0.865 0.105
O33 0.960 0.861 0.319
O34 0.961 0.138 0.461
O35 0.961 0.636 0.959
O36 0.965 0.363 0.821
# ΔE to the lowest computed polymorph   1.11 eV per formula unit
# Magnetic moment   28.99 Bohr magnetons per cell
# Calculated density   3.66 Mg/m³
# Energy   -6.200 eV/atom

# Li3Mn5Cr3O16 (PBE+U, relaxed)
data_Li3Mn5Cr3O16
_cell_length_a 10.284
_cell_length_b 5.853
_cell_length_c 10.199
_cell_angle_alpha 90.00
_cell_angle_beta 109.02
_cell_angle_gamma 90.00
_space_group_name_H-M_alt 'C 1 m 1'
_space_group_IT_number 8
loop_
_space_group_symop_operation_xyz
'x,y,z'
'x,-y,z'
'x+1/2,y+1/2,z'
'x+1/2,-y+1/2,z'
loop_
_atom_site_label
_atom_site_fract_x
_atom_site_fract_y
_atom_site_fract_z
Li1 0.000 0.000 0.000
Li2 0.003 0.500 0.508
Li3 0.367 0.000 0.133
Mn1 0.184 0.250 0.816
Mn2 0.185 0.000 0.570
Mn3 0.185 0.251 0.320
Cr1 0.184 0.500 0.068
Cr2 0.434 0.000 0.815
Cr3 0.434 0.500 0.321
O1 0.068 0.272 0.932
O2 0.070 0.000 0.215
O3 0.071 0.225 0.439
O4 0.072 0.500 0.712
O5 0.078 0.500 0.206
O6 0.083 0.000 0.700
O7 0.289 0.000 0.437
O8 0.290 0.500 0.931
O9 0.295 0.500 0.421
O10 0.296 0.221 0.697
O11 0.298 0.000 0.922
O12 0.300 0.271 0.204
# ΔE to the lowest computed polymorph   0.00 eV per formula unit
# Magnetic moment   48.00 Bohr magnetons per cell
# Calculated density   4.05 Mg/m³
# Energy   -7.083 eV/atom

# Li32Mn3Cr13O48 (PBE+U, relaxed)
data_Li32Mn3Cr13O48
_cell_length_a 5.031
_cell_length_b 8.728
_cell_length_c 19.487
_cell_angle_alpha 82.12
_cell_angle_beta 85.21
_cell_angle_gamma 89.38
_space_group_name_H-M_alt 'P 1'
_space_group_IT_number 1
loop_
_space_group_symop_operation_xyz
'x,y,z'
loop_
_atom_site_label
_atom_site_fract_x
_atom_site_fract_y
_atom_site_fract_z
Li1 0.000 0.000 0.000
Li2 0.000 0.327 0.002
Li3 0.009 0.650 0.001
Li4 0.021 0.663 0.499
Li5 0.125 0.448 0.127
Li6 0.129 0.454 0.627
Li7 0.241 0.247 0.752
Li8 0.243 0.252 0.249
Li9 0.252 0.575 0.750
Li10 0.253 0.576 0.251
Li11 0.261 0.904 0.252
Li12 0.262 0.906 0.751
Li13 0.373 0.704 0.376
Li14 0.379 0.700 0.876
Li15 0.484 0.496 0.502
Li16 0.489 0.492 0.003
Li17 0.503 0.155 0.002
Li18 0.503 0.828 0.502
Li19 0.503 0.829 0.001
Li20 0.509 0.154 0.502
Li21 0.623 0.954 0.125
Li22 0.624 0.949 0.625
Li23 0.736 0.745 0.751
Li24 0.745 0.080 0.250
Li25 0.748 0.748 0.252
Li26 0.756 0.073 0.752
Li27 0.760 0.407 0.250
Li28 0.762 0.408 0.750
Li29 0.875 0.204 0.376
Li30 0.880 0.200 0.876
Li31 0.995 0.331 0.500
Li32 0.997 0.996 0.501
Mn1 0.377 0.035 0.876
Mn2 0.623 0.287 0.127
Mn3 0.878 0.870 0.376
Cr1 0.122 0.116 0.127
Cr2 0.122 0.789 0.626
Cr3 0.129 0.125 0.625
Cr4 0.129 0.779 0.125
Cr5 0.367 0.037 0.376
Cr6 0.380 0.364 0.877
Cr7 0.384 0.368 0.376
Cr8 0.623 0.279 0.628
Cr9 0.630 0.623 0.126
Cr10 0.632 0.615 0.626
Cr11 0.869 0.536 0.876
Cr12 0.872 0.540 0.375
Cr13 0.887 0.867 0.875
O1 0.034 0.724 0.819
O2 0.042 0.725 0.319
O3 0.075 0.041 0.320
O4 0.075 0.400 0.320
O5 0.076 0.399 0.819
O6 0.079 0.044 0.819
O7 0.176 0.860 0.432
O8 0.177 0.505 0.433
O9 0.178 0.503 0.933
O10 0.179 0.863 0.931
O11 0.212 0.179 0.933
O12 0.218 0.180 0.433
O13 0.288 0.965 0.070
O14 0.290 0.974 0.570
O15 0.313 0.290 0.570
O16 0.318 0.651 0.067
O17 0.323 0.290 0.071
O18 0.326 0.649 0.569
O19 0.428 0.754 0.683
O20 0.430 0.114 0.182
O21 0.438 0.751 0.183
O22 0.439 0.114 0.682
O23 0.464 0.430 0.683
O24 0.464 0.436 0.182
O25 0.533 0.226 0.320
O26 0.535 0.219 0.821
O27 0.575 0.898 0.819
O28 0.576 0.902 0.319
O29 0.581 0.541 0.820
O30 0.584 0.544 0.319
O31 0.670 0.360 0.933
O32 0.671 0.364 0.433
O33 0.678 0.003 0.932
O34 0.679 0.006 0.433
O35 0.720 0.685 0.431
O36 0.721 0.678 0.932
O37 0.781 0.469 0.571
O38 0.786 0.468 0.071
O39 0.816 0.786 0.069
O40 0.817 0.155 0.568
O41 0.828 0.151 0.070
O42 0.833 0.792 0.569
O43 0.921 0.611 0.682
O44 0.923 0.257 0.184
O45 0.935 0.249 0.684
O46 0.940 0.618 0.182
O47 0.970 0.934 0.681
O48 0.973 0.936 0.181
# ΔE to the lowest computed polymorph   0.02 eV per formula unit
# Magnetic moment   35.00 Bohr magnetons per cell
# Calculated density   3.60 Mg/m³
# Energy   -6.248 eV/atom